Record 1
{
  "formula": "PmHoMgAl",
  "functional": "PBE",
  "state": "optimized geometry",
  "m_tot_mub_per_fu": 0.00,
  "energy_ev_per_atom": -3.9198,
  "spacegroup": "F-43m (216)",
  "lattice_angstrom": [[0.0000, 3.7138, 3.7138], [3.7138, 0.0000, 3.7138], [3.7138, 3.7138, 0.0000]],
  "species": ["Pm", "Ho", "Mg", "Al"],
  "frac_coords": [[0.0000, 0.0000, 0.0000], [0.5000, 0.5000, 0.5000], [0.7500, 0.7500, 0.7500], [0.2500, 0.2500, 0.2500]]
}

Record 2
{
  "formula": "Ho3Mg3Al2Pt",
  "functional": "PBE",
  "state": "optimized geometry",
  "m_tot_mub_per_fu": 0.02,
  "energy_ev_per_atom": -4.0666,
  "spacegroup": "P-62m (189)",
  "lattice_angstrom": [[7.3436, 0.0000, 0.0000], [-3.6718, 6.3598, 0.0000], [0.0000, 0.0000, 4.3776]],
  "species": ["Ho", "Ho", "Ho", "Mg", "Mg", "Mg", "Al", "Al", "Pt"],
  "frac_coords": [[0.0000, 0.4065, 0.0000], [0.4065, 0.0000, 0.0000], [0.5935, 0.5935, 0.0000], [0.0000, 0.7631, 0.5000], [0.2369, 0.2369, 0.5000], [0.7631, 0.0000, 0.5000], [0.3333, 0.6667, 0.5000], [0.6667, 0.3333, 0.5000], [0.0000, 0.0000, 0.0000]]
}

Record 3
{
  "formula": "SmHoMgAl",
  "functional": "PBE",
  "state": "optimized geometry",
  "m_tot_mub_per_fu": 0.00,
  "energy_ev_per_atom": -3.9129,
  "spacegroup": "F-43m (216)",
  "lattice_angstrom": [[0.0000, 3.7042, 3.7042], [3.7042, 0.0000, 3.7042], [3.7042, 3.7042, 0.0000]],
  "species": ["Sm", "Ho", "Mg", "Al"],
  "frac_coords": [[0.0000, 0.0000, 0.0000], [0.5000, 0.5000, 0.5000], [0.7500, 0.7500, 0.7500], [0.2500, 0.2500, 0.2500]]
}

Record 4
{
  "formula": "Ho2TmMg4Al2",
  "functional": "PBE",
  "state": "optimized geometry",
  "m_tot_mub_per_fu": 0.01,
  "energy_ev_per_atom": -3.2472,
  "spacegroup": "Amm2 (38)",
  "lattice_angstrom": [[4.5486, 0.0000, 0.0000], [0.0000, 6.4254, 3.7268], [0.0000, -6.4254, 3.7268]],
  "species": ["Ho", "Ho", "Tm", "Mg", "Mg", "Mg", "Mg", "Al", "Al"],
  "frac_coords": [[0.0000, 0.2184, 0.7816], [0.0000, 0.7816, 0.2184], [0.0000, 0.6565, 0.6565], [0.0000, 0.2206, 0.2206], [0.5000, 0.2190, 0.4686], [0.5000, 0.4686, 0.2190], [0.5000, 0.9698, 0.9698], [0.5000, 0.5523, 0.8846], [0.5000, 0.8846, 0.5523]]
}

Record 5
{
  "formula": "HoTmMgAl",
  "functional": "PBE",
  "state": "optimized geometry",
  "m_tot_mub_per_fu": 0.01,
  "energy_ev_per_atom": -3.8479,
  "spacegroup": "F-43m (216)",
  "lattice_angstrom": [[0.0000, 3.6426, 3.6426], [3.6426, 0.0000, 3.6426], [3.6426, 3.6426, 0.0000]],
  "species": ["Ho", "Tm", "Mg", "Al"],
  "frac_coords": [[0.0000, 0.0000, 0.0000], [0.5000, 0.5000, 0.5000], [0.7500, 0.7500, 0.7500], [0.2500, 0.2500, 0.2500]]
}

Record 6
{
  "formula": "Y2HoMg4Al2",
  "functional": "PBE",
  "state": "optimized geometry",
  "m_tot_mub_per_fu": 0.02,
  "energy_ev_per_atom": -3.7055,
  "spacegroup": "Amm2 (38)",
  "lattice_angstrom": [[4.5515, 0.0000, 0.0000], [0.0000, 6.4683, 3.7460], [0.0000, -6.4683, 3.7460]],
  "species": ["Y", "Y", "Ho", "Mg", "Mg", "Mg", "Mg", "Al", "Al"],
  "frac_coords": [[0.0000, 0.2180, 0.7820], [0.0000, 0.7820, 0.2180], [0.0000, 0.3454, 0.3454], [0.0000, 0.7807, 0.7807], [0.5000, 0.0312, 0.0312], [0.5000, 0.5322, 0.7814], [0.5000, 0.7814, 0.5322], [0.5000, 0.1161, 0.4483], [0.5000, 0.4483, 0.1161]]
}

Record 7
{
  "formula": "Y2HoMg3Al2Zn",
  "functional": "PBE",
  "state": "optimized geometry",
  "m_tot_mub_per_fu": 0.00,
  "energy_ev_per_atom": -3.7654,
  "spacegroup": "Amm2 (38)",
  "lattice_angstrom": [[4.4476, 0.0000, 0.0000], [0.0000, 6.3723, 3.6874], [0.0000, -6.3723, 3.6874]],
  "species": ["Y", "Y", "Ho", "Mg", "Mg", "Mg", "Al", "Al", "Zn"],
  "frac_coords": [[0.0000, 0.2102, 0.7898], [0.0000, 0.7898, 0.2102], [0.0000, 0.3692, 0.3692], [0.5000, 0.0306, 0.0306], [0.5000, 0.5480, 0.7892], [0.5000, 0.7892, 0.5480], [0.5000, 0.1238, 0.4559], [0.5000, 0.4559, 0.1238], [0.0000, 0.7876, 0.7876]]
}

Record 8
{
  "formula": "Ho3Mg3AlZn2",
  "functional": "PBE",
  "state": "optimized geometry",
  "m_tot_mub_per_fu": 0.05,
  "energy_ev_per_atom": -2.9969,
  "spacegroup": "P-62m (189)",
  "lattice_angstrom": [[7.2180, 0.0000, 0.0000], [-3.6090, 6.2510, 0.0000], [0.0000, 0.0000, 4.5500]],
  "species": ["Ho", "Ho", "Ho", "Mg", "Mg", "Mg", "Al", "Zn", "Zn"],
  "frac_coords": [[0.0000, 0.4289, 0.0000], [0.4289, 0.0000, 0.0000], [0.5711, 0.5711, 0.0000], [0.0000, 0.7559, 0.5000], [0.2441, 0.2441, 0.5000], [0.7559, 0.0000, 0.5000], [0.0000, 0.0000, 0.0000], [0.3333, 0.6667, 0.5000], [0.6667, 0.3333, 0.5000]]
}

Record 9
{
  "formula": "HoAlMo",
  "functional": "PBE",
  "state": "optimized geometry",
  "m_tot_mub_per_fu": 2.30,
  "relative_energy_ev_per_atom": 0.578,
  "spacegroup": "F-43m (216)",
  "lattice_angstrom": [[0.0000, 3.3169, 3.3169], [3.3169, 0.0000, 3.3169], [3.3169, 3.3169, 0.0000]],
  "species": ["Ho", "Al", "Mo"],
  "frac_coords": [[0.0000, 0.0000, 0.0000], [0.7500, 0.7500, 0.7500], [0.2500, 0.2500, 0.2500]]
}

Record 10
{
  "formula": "HoAlMo",
  "functional": "PBE",
  "state": "optimized geometry",
  "m_tot_mub_per_fu": 1.54,
  "relative_energy_ev_per_atom": 0.000,
  "spacegroup": "F-43m (216)",
  "lattice_angstrom": [[0.0000, 3.2410, 3.2410], [3.2410, 0.0000, 3.2410], [3.2410, 3.2410, 0.0000]],
  "species": ["Ho", "Al", "Mo"],
  "frac_coords": [[0.0000, 0.0000, 0.0000], [0.5000, 0.5000, 0.5000], [0.7500, 0.7500, 0.7500]]
}

Record 11
{
  "formula": "HoAl3N",
  "functional": "PBE",
  "state": "optimized geometry",
  "m_tot_mub_per_fu": 1.43,
  "energy_ev_per_atom": -4.7795,
  "spacegroup": "Pm-3m (221)",
  "lattice_angstrom": [[4.3347, 0.0000, 0.0000], [0.0000, 4.3347, 0.0000], [0.0000, 0.0000, 4.3347]],
  "species": ["Ho", "Al", "Al", "Al", "N"],
  "frac_coords": [[0.0000, 0.0000, 0.0000], [0.0000, 0.5000, 0.5000], [0.5000, 0.0000, 0.5000], [0.5000, 0.5000, 0.0000], [0.5000, 0.5000, 0.5000]]
}

Record 12
{
  "formula": "NaHoAl",
  "functional": "PBE",
  "state": "optimized geometry",
  "m_tot_mub_per_fu": 0.87,
  "energy_ev_per_atom": -2.6087,
  "spacegroup": "F-43m (216)",
  "lattice_angstrom": [[0.0000, 3.5623, 3.5623], [3.5623, 0.0000, 3.5623], [3.5623, 3.5623, 0.0000]],
  "species": ["Na", "Ho", "Al"],
  "frac_coords": [[0.0000, 0.0000, 0.0000], [0.7500, 0.7500, 0.7500], [0.5000, 0.5000, 0.5000]]
}